The following is a DFT calculation (PBE with a Hubbard U) of a relaxed structure of InCoN2F.

Calculated values
Energy (Ha/atom): -0.1811
Spin magnetization (μB/cell): 3.17
Volume (Å³/atom): 11.688

Lattice parameters (Å, degrees): 3.751 3.751 4.153 90.00 90.00 90.00
Space group P4/mmm (No. 123)
Asymmetric unit:
In 0.000 0.000 0.000 x1
Co 0.500 0.500 0.500 x1
N 0.000 0.500 0.500 x2
F 0.500 0.500 0.000 x1